No. 1
ErCoNi | the Alexandria database | PBE | optimized geometry; DOS(E_F) = 5.0 states/eV/cell
1.0
-2.4567 2.5280 3.6348
2.4567 -2.5280 3.6348
2.4567 2.5280 -3.6348
Er Co Ni
2 2 2
Cartesian
0.0000 1.2640 0.8883
2.4567 1.2640 2.7465
1.2284 1.2640 -1.8174
1.2284 -1.2640 1.8174
2.4567 0.0000 0.0000
0.0000 0.0000 3.6348

No. 2
Er4CoNi2 | the Alexandria database | PBE | optimized geometry; DOS(E_F) = 5.3 states/eV/cell
1.0
5.2927 -2.0481 0.0000
5.2927 2.0481 0.0000
-4.7951 0.0000 6.8247
Er Co Ni
4 1 2
Cartesian
-0.9048 0.0000 2.5001
-1.0283 0.0000 6.1737
6.8186 0.0000 0.6510
6.6950 0.0000 4.3246
0.0000 0.0000 0.0000
2.1393 0.0000 2.4408
3.6510 0.0000 4.3839

No. 3
Er3CoNi8 | the Alexandria database | PBE | optimized geometry; DOS(E_F) = 14.9 states/eV/cell
1.0
2.4724 1.4274 8.0761
-2.4724 1.4274 8.0761
0.0000 -2.8548 8.0761
Er Co Ni
3 1 8
Cartesian
0.0000 0.0000 0.0000
0.0000 0.0000 3.1613
0.0000 0.0000 12.6064
0.0000 0.0000 15.5998
-1.2408 -0.7164 9.7221
0.0000 -1.4126 5.7426
-1.2233 0.7063 5.7426
0.0000 0.0000 7.7228
1.2233 0.7063 5.7426
1.2408 -0.7164 9.7221
0.0000 1.4328 9.7221
0.0000 0.0000 19.8555

No. 4
Er5Co2Ni | the Alexandria database | PBE | optimized geometry; DOS(E_F) = 12.3 states/eV/cell
1.0
-3.5343 3.5343 6.9830
3.5343 -3.5343 6.9830
3.5343 3.5343 -6.9830
Er Co Ni
10 4 2
Cartesian
0.0000 0.0000 0.0000
4.7794 1.2451 -1.9793
1.2451 2.2891 -1.9793
4.7794 1.2451 1.9793
1.2451 2.2891 1.9793
0.0000 0.0000 6.9830
2.2891 1.2451 5.0037
-1.2451 2.2891 5.0037
2.2891 1.2451 8.9624
-1.2451 2.2891 8.9624
2.7290 0.8053 0.0000
2.7290 -0.8053 6.9830
0.8053 4.3396 0.0000
0.8053 2.7290 6.9830
0.0000 0.0000 3.4915
0.0000 0.0000 10.4745

No. 5
Er4Co2Ni | the Alexandria database | PBE | optimized geometry; DOS(E_F) = 5.7 states/eV/cell
1.0
-3.8391 4.4289 4.6186
3.8391 -4.4289 4.6186
3.8391 4.4289 -4.6186
Er Co Ni
8 4 2
Cartesian
3.8391 1.7833 -0.5216
0.0000 1.7805 0.0000
2.1286 0.0000 2.3809
5.5495 0.0000 2.3809
2.1296 4.4289 1.7267
1.7095 0.0000 6.3453
0.0000 2.6456 4.0970
0.0000 7.0772 0.0000
3.8391 2.2137 2.0486
-1.9171 4.4289 4.3637
0.0000 2.2152 6.6671
1.9171 4.4289 4.3637
0.0000 0.0000 4.2434
3.8391 0.0000 4.4794

No. 6
Er6CoNi2 | the Alexandria database | PBE | optimized geometry; DOS(E_F) = 10.5 states/eV/cell
1.0
6.5986 -1.9752 0.0000
6.5986 1.9752 0.0000
-5.8118 0.0000 8.2087
Er Co Ni
6 1 2
Cartesian
-0.9028 0.0000 1.5065
-1.4811 0.0000 7.1604
1.9424 0.0000 3.9216
5.4430 0.0000 4.2870
8.8665 0.0000 1.0483
8.2881 0.0000 6.7022
-2.9059 0.0000 4.1043
3.8911 0.0000 1.9900
3.4943 0.0000 6.2187

Ordered formation energy results: -0.35; -0.30; -0.34; -0.26; -0.11; -0.23; unit eV/atom.